# TlNiSn2Pb PBE relaxed
# Relative energy among the computed polymorphs in eV/atom: 0.000
# DFT formation energy in eV/atom: 0.0755
# Total magnetic moment in μB/f.u.: 0.00
data_TlNiSn2Pb
_chemical_formula_sum 'Tl1 Ni1 Sn2 Pb1'
_space_group_name_H-M_alt 'P 4/m m m'
_space_group_IT_number 123
_space_group_name_Hall '-P 4 2'
_cell_length_a 5.007
_cell_length_b 5.007
_cell_length_c 5.425
_cell_angle_alpha 90.00
_cell_angle_beta 90.00
_cell_angle_gamma 90.00
loop_
_atom_site_label
_atom_site_type_symbol
_atom_site_fract_x
_atom_site_fract_y
_atom_site_fract_z
_atom_site_occupancy
Tl1 Tl 0.000 0.000 0.000 1
Ni1 Ni 0.500 0.500 0.500 1
Sn1 Sn 0.000 0.500 0.500 1
Pb1 Pb 0.500 0.500 0.000 1